No. 1
Compound: Re2IrSe5
Source: Alexandria via LeMat-Bulk
Functional: PBE
Structure: optimized geometry

theoretical density	8.2	g/cm3
formation energy without anion corrections	0.1303	eV/atom
DOS(E_F)	5.86	states/eV/f.u.

Geometry as POSCAR:
```
Re2IrSe5
1.0
5.495 0.000 0.000
-2.042 6.178 0.000
-0.344 -3.315 5.707
Re Ir Se
2 1 5
Direct
0.000 0.000 0.000
0.422 0.796 0.454
0.954 0.935 0.560
0.057 0.735 0.176
0.119 0.683 0.684
0.381 0.371 0.220
0.736 0.159 0.847
0.753 0.077 0.328
```


No. 2
Compound: ReIr3Se
Source: Alexandria via LeMat-Bulk
Functional: PBE
Structure: optimized geometry

theoretical density	13.0	g/cm3
formation energy without anion corrections	1.8093	eV/atom
DOS(E_F)	7.31	states/eV/f.u.

Geometry as POSCAR:
```
ReIr3Se
1.0
4.751 0.000 0.000
0.000 4.751 0.000
0.000 0.000 4.751
Re Ir Se
1 3 1
Direct
0.000 0.000 0.000
0.000 0.000 0.500
0.000 0.500 0.000
0.500 0.000 0.000
0.500 0.500 0.500
```


No. 3
Compound: ReIr2Se
Source: Alexandria via LeMat-Bulk
Functional: PBE
Structure: optimized geometry

theoretical density	17.7	g/cm3
formation energy without anion corrections	0.4528	eV/atom
DOS(E_F)	2.64	states/eV/f.u.

Geometry as POSCAR:
```
ReIr2Se
1.0
2.771 -3.916 0.000
2.771 3.916 0.000
0.000 0.000 2.814
Re Ir Se
1 2 1
Direct
0.000 0.000 0.000
0.000 0.500 0.500
0.500 0.000 0.500
0.500 0.500 0.000
```


No. 4
Compound: Re2IrSe
Source: Alexandria via LeMat-Bulk
Functional: PBE
Structure: optimized geometry

theoretical density	17.8	g/cm3
formation energy without anion corrections	0.4378	eV/atom
DOS(E_F)	2.60	states/eV/f.u.

Geometry as POSCAR:
```
Re2IrSe
1.0
-1.470 2.246 4.545
1.470 -2.246 4.545
1.470 2.246 -4.545
Re Ir Se
2 1 1
Direct
0.000 0.000 0.000
0.736 0.236 0.500
0.460 0.460 0.000
0.226 0.726 0.500
```


No. 5
Compound: Re2IrSe
Source: Alexandria via LeMat-Bulk
Functional: PBE
Structure: optimized geometry

theoretical density	17.2	g/cm3
formation energy without anion corrections	0.2699	eV/atom
DOS(E_F)	3.10	states/eV/f.u.

Geometry as POSCAR:
```
Re2IrSe
1.0
2.877 0.000 0.000
0.000 2.877 0.000
0.000 0.000 7.526
Re Ir Se
2 1 1
Direct
0.000 0.000 0.000
0.500 0.500 0.249
0.500 0.500 0.765
0.000 0.000 0.469
```


No. 6
Compound: ReIrSe2
Source: Alexandria via LeMat-Bulk
Functional: PBE
Structure: optimized geometry

theoretical density	12.9	g/cm3
formation energy without anion corrections	0.3580	eV/atom
DOS(E_F)	2.55	states/eV/f.u.

Geometry as POSCAR:
```
ReIrSe2
1.0
1.545 0.892 8.376
-1.545 0.892 8.376
0.000 -1.784 8.376
Re Ir Se
1 1 2
Direct
0.000 0.000 0.000
0.500 0.500 0.500
0.405 0.405 0.405
0.595 0.595 0.595
```


Question: Number 4 is which compound?
Answer: Re2IrSe


Question: Among the records above, which one has the lowest formation energy without anion corrections?
Answer: Re2IrSe5